First-principles (PBE) data for a geometry-optimized UOsAu structure, as listed in OQMD.

Properties
The formation energy is 1.195 eV per formula unit.

Unit cell a=4.5574 b=4.5574 c=4.5574 alpha=60.00 beta=60.00 gamma=60.00
Closest atoms and distances in Å follow each position.
Sites, in units of the cell vectors:
Os1 0.0000 0.0000 0.0000  4 U 2.79, 4 Au 2.79
Au1 0.2500 0.2500 0.2500  4 Os 2.79
U1 0.7500 0.7500 0.7500  4 Os 2.79

First-principles (PBE) data for a geometry-optimized UOsAu structure, as listed in OQMD.

Properties
The formation energy is 1.807 eV per formula unit.

Unit cell a=4.5975 b=4.5975 c=4.5975 alpha=60.00 beta=60.00 gamma=60.00
Closest atoms and distances in Å follow each position.
Sites, in units of the cell vectors:
Au1 0.0000 0.0000 0.0000  4 U 2.82
U1 0.2500 0.2500 0.2500  4 Au 2.82, 4 Os 2.82
Os1 0.5000 0.5000 0.5000  4 U 2.82

First-principles (PBE) data for a geometry-optimized OsWAu structure, as listed in OQMD.

Properties
The formation energy is 2.407 eV per formula unit.

Unit cell a=4.2976 b=4.2976 c=4.2976 alpha=60.00 beta=60.00 gamma=60.00
Closest atoms and distances in Å follow each position.
Sites, in units of the cell vectors:
Au1 0.2500 0.2500 0.2500  4 W 2.63
W1 0.0000 0.0000 0.0000  4 Os 2.63, 4 Au 2.63
Os1 0.7500 0.7500 0.7500  4 W 2.63

Calculated distance to the lowest polymorph of the same formula, 0 204 0 meV per atom (same order as the records).